No. 1
# BaScAg2 GGA-PBE optimized geometry
# Total DFT energy (no corrections): -0.128 hartree per atom
# Polymorph energy (0 for the lowest one): 187 meV per atom
# Space group: Fm-3m, No. 225
# Energy of formation from the pure elements: 13 meV/atom
data_BaScAg2
_chemical_formula_sum 'Ba1 Sc1 Ag2'
_symmetry_space_group_name_H-M 'P 1'
_symmetry_Int_Tables_number 1
_cell_length_a 5.3734
_cell_length_b 5.3734
_cell_length_c 5.3734
_cell_angle_alpha 60.00
_cell_angle_beta 60.00
_cell_angle_gamma 60.00
loop_
_symmetry_equiv_pos_as_xyz
'x,y,z'
loop_
_atom_site_label
_atom_site_type_symbol
_atom_site_fract_x
_atom_site_fract_y
_atom_site_fract_z
_atom_site_occupancy
Sc1 Sc 0.0000 0.0000 0.0000 1
Ba1 Ba 0.5000 0.5000 0.5000 1
Ag1 Ag 0.2500 0.2500 0.2500 1
Ag2 Ag 0.7500 0.7500 0.7500 1



No. 2
# MoPbSN2 GGA-PBE optimized geometry
# Total DFT energy (no corrections): -0.186 hartree per atom
# Formation energy without anion corrections: 1.994 eV/atom
# Polymorph energy (0 for the lowest one): 1820 meV per atom
# Space group: P4/mmm, No. 123
data_MoPbSN2
_chemical_formula_sum 'Mo1 Pb1 S1 N2'
_symmetry_space_group_name_H-M 'P 1'
_symmetry_Int_Tables_number 1
_cell_length_a 4.2588
_cell_length_b 4.2588
_cell_length_c 5.3127
_cell_angle_alpha 90.00
_cell_angle_beta 90.00
_cell_angle_gamma 90.00
loop_
_symmetry_equiv_pos_as_xyz
'x,y,z'
loop_
_atom_site_label
_atom_site_type_symbol
_atom_site_fract_x
_atom_site_fract_y
_atom_site_fract_z
_atom_site_occupancy
Pb1 Pb 0.0000 0.0000 0.0000 1
Mo1 Mo 0.5000 0.5000 0.5000 1
S1 S 0.0000 0.0000 0.5000 1
N1 N 0.0000 0.5000 0.0000 1
N2 N 0.5000 0.0000 0.0000 1